1.
The following is a DFT calculation (PBE) of a relaxed SrNi3Ge2 crystal.

POSCAR file:
```
SrNi3Ge2
1.0
-1.2599 -3.7926 -0.7264
3.0288 1.5887 -2.1912
9.4616 -4.9592 9.4825
Ni Sr Ge
6 2 4
Cartesian
4.7308 -2.4796 4.7412
5.5787 -4.8340 4.2063
0.0000 0.0000 0.0000
8.9530 -6.6026 7.5881
2.2774 -0.5606 -1.0232
5.6518 -2.3292 2.3586
7.0962 -3.7194 7.1119
2.3654 -1.2398 2.3706
1.0834 -2.4778 -0.2990
3.9868 -3.9996 2.6109
7.2437 -3.1636 3.9540
10.1471 -4.6854 6.8638
```

Calculated formation energy: -0.45 eV per atom


2.
The following is a DFT calculation (PBE) of a relaxed SrNiGe3 crystal.

POSCAR file:
```
SrNiGe3
1.0
-5.0797 1.8784 -1.1179
-1.1322 -4.6803 -2.7193
-1.8698 -2.2690 4.6837
Ge Ni Sr
3 1 1
Cartesian
-0.9349 -1.1345 2.3418
-2.5399 0.9392 -0.5590
-0.5661 -2.3401 -1.3597
-4.0409 -2.5354 0.4232
0.0000 0.0000 0.0000
```

Calculated formation energy: 1.71 eV per atom


3.
The following is a DFT calculation (PBE) of a relaxed SrNi2Ge3 crystal.

POSCAR file:
```
SrNi2Ge3
1.0
5.2895 0.0000 0.0000
0.0000 6.4924 -0.2835
0.0000 -1.5820 6.3031
Ge Ni Sr
6 4 2
Cartesian
1.3224 1.9386 5.5682
1.3224 4.5695 5.6017
1.3224 5.0652 3.0177
3.9672 -0.1549 3.0018
3.9672 2.9718 0.4513
3.9672 0.3409 0.4179
2.6448 4.9069 1.0098
0.0000 4.9069 1.0098
0.0000 0.0035 5.0098
2.6448 0.0035 5.0098
3.9672 3.2406 3.9725
1.3224 1.6698 2.0470
```

Calculated formation energy: -0.36 eV per atom


4.
The following is a DFT calculation (PBE) of a relaxed Sr2Ni2Ge crystal.

POSCAR file:
```
Sr2Ni2Ge
1.0
-6.8410 0.7990 -0.4695
-0.5744 -6.4004 -2.5226
-0.4831 -1.6347 4.2576
Ge Sr Ni
2 4 4
Cartesian
0.0000 0.0000 0.0000
-3.7077 -2.8007 -1.4960
-6.0086 -2.1904 0.9472
-1.8899 -5.0457 0.3183
-5.3868 -5.4967 -0.2516
-2.5118 -1.7393 1.5172
-1.0569 -2.3160 -1.0091
-6.3586 -3.2854 -1.9829
-4.3313 -0.2885 -0.6022
-3.0842 -5.3130 -2.3898
```

Calculated formation energy: -0.08 eV per atom


5.
The following is a DFT calculation (PBE) of a relaxed Sr2Ni5Ge3 crystal.

POSCAR file:
```
Sr2Ni5Ge3
1.0
6.0453 -0.0006 -0.0005
3.0218 7.6366 0.1435
3.0218 1.3197 7.5230
Ge Ni Sr
6 10 4
Cartesian
4.5332 7.6341 0.1460
6.0449 4.8505 5.6768
7.5558 1.3215 7.5200
9.0676 6.3567 3.9165
3.0214 2.5989 3.7494
6.0441 4.1051 1.9892
3.0233 1.0512 5.6755
9.0657 7.9044 1.9904
4.5332 4.4788 3.8321
7.5560 6.6982 5.7322
7.5558 4.4768 3.8338
6.0430 3.1862 7.5030
4.5333 6.6971 5.7341
7.5557 2.2585 1.9318
6.0460 5.7694 0.1629
4.5330 2.2574 1.9337
3.0220 4.8990 1.0275
6.0446 1.7705 4.6816
6.0444 7.1851 2.9843
9.0670 4.0566 6.6385
```

Calculated formation energy: -0.35 eV per atom


6.
The following is a DFT calculation (PBE) of a relaxed SrNiGe3 crystal.

POSCAR file:
```
SrNiGe3
1.0
5.8573 0.0002 -0.0002
-0.0001 6.2189 0.0000
0.0003 -3.1097 5.3855
Ge Ni Sr
6 2 2
Cartesian
1.4643 3.1092 3.3500
1.4642 4.4561 1.0174
4.3933 -1.3467 4.3679
1.4642 1.7629 1.0176
4.3932 0.0002 2.0353
4.3932 1.3465 4.3677
0.0000 0.0000 0.0000
2.9287 0.0001 -0.0001
1.4649 -0.0004 3.5901
4.3926 3.1097 1.7954
```

Calculated formation energy: -0.30 eV per atom


7.
The following is a DFT calculation (PBE) of a relaxed SrNi12Ge6 crystal.

POSCAR file:
```
SrNi12Ge6
1.0
-5.2669 3.9356 1.5347
-0.3577 -0.8648 -6.6864
-1.5087 -6.0355 2.6233
Ge Ni Sr
6 12 1
Cartesian
-5.1894 -1.8410 1.0532
-4.6819 0.4391 -3.0522
-4.1087 0.9932 0.0436
-2.4514 -3.4038 0.5237
-1.9438 -1.1237 -3.5817
-3.0246 -3.9579 -2.5721
-1.6511 -2.3534 -1.5112
-4.9830 2.2756 -1.6745
-2.1502 -5.2403 -0.8540
-5.4168 0.3269 1.8341
-2.9875 -1.0467 0.7266
-4.0004 -3.4311 2.2444
-3.1328 0.4664 -4.7729
-2.6741 0.3608 -1.8075
-4.4591 -3.3255 -0.7209
-1.7164 -3.2915 -4.3626
-5.4821 -0.6113 -1.0173
-4.1458 -1.9180 -3.2551
0.0000 0.0000 0.0000
```

Calculated formation energy: -0.25 eV per atom


8.
The following is a DFT calculation (PBE) of a relaxed SrNi3Ge3 crystal.

POSCAR file:
```
SrNi3Ge3
1.0
6.3333 0.0000 0.0000
3.1667 5.4848 0.0000
3.1667 1.8283 7.5599
Ni Ge Sr
6 6 2
Cartesian
4.0654 4.1859 4.5672
8.6013 3.1273 2.9927
5.6578 5.8853 2.9927
7.9257 5.3560 4.5672
7.0089 1.4279 4.5672
4.7410 1.9571 2.9927
7.8065 5.1896 2.2045
5.7422 5.6989 5.3554
4.2691 4.1658 2.2045
8.3976 3.1473 5.3554
6.9244 1.6142 2.2045
4.8602 2.1235 5.3554
3.1667 1.8283 0.1794
9.5000 5.4849 7.3805
```

Calculated formation energy: -0.25 eV per atom
Polymorph energy (0 for the lowest one): 0.000 kcal/mol of atoms


9.
The following is a DFT calculation (PBE) of a relaxed SrNi3Ge crystal.

POSCAR file:
```
SrNi3Ge
1.0
-3.8359 2.8023 -0.1064
-2.7885 -3.8306 -0.3598
-0.2979 -0.2280 4.7368
Ni Ge Sr
3 1 1
Cartesian
-0.1490 -0.1140 2.3684
-1.3942 -1.9153 -0.1799
-1.9179 1.4012 -0.0532
-3.4611 -0.6281 2.1353
0.0000 0.0000 0.0000
```

Calculated formation energy: 1.70 eV per atom
Polymorph energy (0 for the lowest one): 38.232 kcal/mol of atoms


10.
The following is a DFT calculation (PBE) of a relaxed SrNi3Ge crystal.

POSCAR file:
```
SrNi3Ge
1.0
-1.1206 -4.3292 -0.7560
5.3759 -1.6446 1.4495
-2.0015 -0.6495 6.6863
Ni Sr Ge
6 2 2
Cartesian
3.5365 -1.3967 2.7566
-0.1621 -0.8974 5.3791
0.8466 -0.5751 2.0381
2.1277 -2.9869 0.3467
-1.5610 -2.4894 2.9652
2.5278 -1.7191 6.0977
-0.5603 -2.1646 -0.3780
1.1269 -3.3117 3.6899
-1.0007 -0.3248 3.3432
2.6880 -0.8223 0.7247
```

Calculated formation energy: 0.04 eV per atom
Polymorph energy (0 for the lowest one): 0.000 kcal/mol of atoms


11.
The following is a DFT calculation (PBE) of a relaxed Sr2Ni5Ge4 crystal.

POSCAR file:
```
Sr2Ni5Ge4
1.0
5.5942 0.0000 0.0000
2.7971 5.0348 0.0000
2.7971 0.0000 6.8851
Ge Ni Sr
4 5 2
Cartesian
8.3913 3.4166 5.1362
5.5942 3.4166 1.7488
2.7971 1.6182 1.7488
5.5942 1.6182 5.1362
4.1957 2.5174 0.0000
2.7971 0.0000 0.0000
6.9928 2.5174 3.4425
1.3986 2.5174 0.0000
4.1957 2.5174 3.4425
5.5942 0.0000 1.8949
2.7971 0.0000 4.9902
```

Calculated formation energy: -0.43 eV per atom


12.
The following is a DFT calculation (PBE) of a relaxed Sr2NiGeTe crystal.

POSCAR file:
```
Sr2NiGeTe
1.0
-1.1724 3.5956 -4.4321
-5.4839 0.5435 1.8916
1.1903 3.4276 2.4659
Sr Ge Te Ni
2 1 1 1
Cartesian
-2.7419 0.2718 0.9458
-0.5862 1.7978 -2.2160
0.5952 1.7138 1.2329
-2.7330 3.7834 -0.0373
0.0000 0.0000 0.0000
```

ΔE_f (raw): -0.71 eV/atom


13.
The following is a DFT calculation (PBE) of a relaxed SrZnNiGe2 crystal.

POSCAR file:
```
SrZnNiGe2
1.0
-3.1645 2.5402 -1.2691
-1.0345 -2.8009 -3.0268
-1.1894 -2.2874 5.5093
Ge Ni Zn Sr
2 1 1 1
Cartesian
-2.9236 -0.7362 -1.3056
-2.4647 -1.8119 2.5190
-2.1617 -2.6093 0.1673
-3.2267 0.0612 1.0461
0.0000 0.0000 0.0000
```

Calculated formation energy: -0.41 eV per atom


14.
The following is a DFT calculation (PBE) of a relaxed SrZrNiGe2 crystal.

POSCAR file:
```
SrZrNiGe2
1.0
-2.8969 2.0683 3.0861
-3.9027 -2.3516 -2.0874
0.5866 -3.6097 2.9698
Ni Ge Sr Zr
1 2 1 1
Cartesian
0.0000 0.0000 0.0000
0.2933 -1.8049 1.4849
-1.4484 1.0342 1.5431
-1.9514 -1.1758 -1.0437
-3.1065 -1.9465 1.9843
```

Calculated formation energy: 0.28 eV per atom


15.
The following is a DFT calculation (PBE) of a relaxed Ta3NiGe crystal.

POSCAR file:
```
Ta3NiGe
1.0
4.5859 0.0000 0.0000
0.0000 4.5859 0.0000
0.0000 0.0000 4.5859
Ge Ta Ni
1 3 1
Cartesian
2.2929 2.2929 2.2929
2.2929 0.0000 0.0000
0.0000 0.0000 2.2929
0.0000 2.2929 0.0000
0.0000 0.0000 0.0000
```

Calculated formation energy: 0.81 eV per atom
Polymorph energy (0 for the lowest one): 0.000 kcal/mol of atoms


16.
The following is a DFT calculation (PBE) of a relaxed TaNiGe crystal.

POSCAR file:
```
TaNiGe
1.0
-2.7315 -0.6959 -0.9459
1.5417 -3.1424 -2.1403
-1.2029 -0.5564 3.8828
Ge Ta Ni
1 1 1
Cartesian
-0.4553 -0.1160 -0.1577
-2.1090 -1.8823 1.2445
0.1717 -2.3964 -0.2902
```

Calculated formation energy: -0.31 eV per atom


17.
The following is a DFT calculation (PBE) of a relaxed TaNi12Ge3 crystal.

POSCAR file:
```
TaNi12Ge3
1.0
-0.9644 -3.2372 -1.2678
1.9237 0.5990 -2.9929
11.5310 -5.8774 6.2353
Ge Ni Ta
3 12 1
Cartesian
2.9488 -1.5030 1.5945
8.5822 -4.3744 4.6407
5.7655 -2.9387 3.1176
0.4796 -1.3191 -2.1304
9.1051 -5.7155 2.5338
5.2994 -1.9113 0.8490
6.7112 -5.2851 3.2559
6.2451 -4.2578 0.9873
3.3852 -2.8000 -0.5592
8.1553 -3.3670 2.3933
2.4358 -0.4517 -0.6994
9.5749 -6.7447 4.8043
0.9917 -2.3699 0.1631
11.0190 -4.8266 3.9418
3.8553 -3.8295 1.7116
0.0000 0.0000 0.0000
```

Calculated formation energy: -0.31 eV per atom


18.
The following is a DFT calculation (PBE) of a relaxed TaNiGe crystal.

POSCAR file:
```
TaNiGe
1.0
3.9077 0.0000 0.0000
1.9538 4.7091 -0.2488
1.9538 -0.1655 4.7128
Ni Ge Ta
2 2 2
Cartesian
1.9538 -0.0376 1.8019
5.8615 2.7427 4.5334
3.9077 3.4564 3.5452
3.9077 0.9378 1.0708
3.9077 0.7417 3.7895
1.9538 2.7652 1.7299
```

Calculated formation energy: -0.37 eV per atom


19.
The following is a DFT calculation (PBE) of a relaxed Ta2Ni6Ge crystal.

POSCAR file:
```
Ta2Ni6Ge
1.0
2.6938 0.0000 0.2723
0.0000 7.0027 0.0000
-0.6285 -3.5013 6.2263
Ni Ta Ge
6 2 1
Cartesian
-0.4289 2.2196 4.2497
2.4942 1.2817 2.2489
1.3469 4.8067 0.1363
0.7184 -1.3054 6.3623
-0.4289 -2.2194 4.2496
2.4942 5.7207 2.2490
1.1150 3.5014 2.4358
0.9503 -0.0001 4.0627
0.0000 0.0000 0.0000
```

Calculated formation energy: -0.14 eV per atom


20.
The following is a DFT calculation (PBE) of a relaxed TaNiGe crystal.

POSCAR file:
```
TaNiGe
1.0
3.7760 0.0000 0.0000
0.0000 6.3332 0.0674
0.0000 0.1005 10.8442
Ge Ta Ni
6 6 6
Cartesian
0.9440 4.5893 2.7117
0.9440 1.4386 4.5558
2.8320 1.4694 0.9935
2.8320 1.8444 8.2000
0.9440 4.9642 9.9182
2.8320 4.9950 6.3559
0.9440 6.3261 7.6875
2.8320 0.1075 3.2242
0.9440 3.0965 6.6942
0.9440 2.2926 10.0516
2.8320 3.3371 4.2175
2.8320 4.1410 0.8601
2.8320 0.1433 9.8815
0.9440 2.2927 2.2217
0.9440 5.3365 4.9670
0.9440 6.2903 1.0301
2.8320 4.1409 8.6900
2.8320 1.0971 5.9447
```

Calculated formation energy: -0.39 eV per atom


no.,size of the total moment (μB per atom)
1,0.000
2,0.101
3,0.000
4,0.000
5,0.000
6,0.000
7,0.000
8,0.000
9,0.000
10,0.000
11,0.000
12,0.000
13,0.000
14,0.336
15,0.000
16,0.000
17,0.000
18,0.000
19,0.000
20,0.000